Computed, not measured: a geometry-optimized Ti3NbO8 structure at the PBE level of DFT.

```
12
Lattice="2.989 0.000 0.000 0.000 4.721 -0.001 0.000 0.097 9.447" Properties=species:S:1:pos:R:3 pbc="T T T"
Ti 1.494 2.360 2.267
Ti 1.494 2.458 7.178
Ti 0.000 0.000 0.000
Nb 0.000 0.048 4.723
O 1.494 3.758 3.743
O 1.494 3.910 8.529
O 1.494 0.908 0.917
O 1.494 1.060 5.703
O 0.000 3.271 1.405
O 0.000 3.370 6.197
O 0.000 1.448 3.249
O 0.000 1.547 8.040
```

ΔE_f (raw): -34.313 eV per formula unit
Theoretical density: 4540 kg/m³
Polymorph energy (0 for the lowest one): 0.0017 eV per atom